# 1
DFT (GGA-PBE) results for crystalline Sc3Mn at its relaxed geometry.

Values from the calculation:
Size of the total moment (μB/cell): 1.31
SG: P4/mmm, No. 123
Energy of formation (eV per atom): 0.124

Structure (POSCAR):
```
Sc3Mn
1.0
4.361 0.401 0.000
-0.403 4.361 0.000
0.000 0.000 4.413
Sc Mn
3 1
direct
0.500 0.000 0.500 Sc
0.000 0.500 0.500 Sc
0.500 0.500 0.000 Sc
0.000 0.000 0.000 Mn
```

=====

# 2
DFT (GGA-PBE) results for crystalline Sn3BiAs at its relaxed geometry.

Values from the calculation:
Size of the total moment (μB/cell): 0.00
SG: Pm-3m, No. 221
Energy of formation (eV per atom): 0.957
Energy relative to the lowest polymorph listed for this composition (eV/atom): 0.600

Structure (POSCAR):
```
Sn3BiAs
1.0
-2.435 -5.162 1.274
2.719 -2.413 -4.580
4.568 -1.315 3.405
Sn Bi As
3 1 1
direct
0.500 0.000 0.000 Sn
0.000 0.000 0.500 Sn
0.000 0.500 0.000 Sn
0.000 0.000 0.000 Bi
0.500 0.500 0.500 As
```

=====

# 3
DFT (GGA-PBE) results for crystalline TiSeSBr2 at its relaxed geometry.

Values from the calculation:
Size of the total moment (μB/cell): 2.39
ΔE_f (raw) (kJ per mole of atoms): -9.1
SG: P4/mmm, No. 123
Energy relative to the lowest polymorph listed for this composition (eV/atom): 0.000

Structure (POSCAR):
```
TiSeSBr2
1.0
-3.975 1.710 2.752
-3.216 -1.555 -3.680
-0.380 -4.421 2.200
Se Br Ti S
1 2 1 1
direct
0.000 0.000 0.500 Se
0.500 0.000 0.000 Br
0.000 0.500 0.000 Br
0.000 0.000 0.000 Ti
0.500 0.500 0.500 S
```